Density functional theory data (PBE-GGA) for an optimized crystal structure of NbCu2Sn2.

Cell and atoms, written as CIF:
```
data_NbCu2Sn2
_cell_length_a 7.6539
_cell_length_b 7.6539
_cell_length_c 3.1075
_cell_angle_alpha 90.00
_cell_angle_beta 90.00
_cell_angle_gamma 90.00
_symmetry_space_group_name_H-M 'P 4/m b m'
_symmetry_Int_Tables_number 127
_symmetry_space_group_name_Hall '-P 4 2ab'
loop_
_atom_site_label
_atom_site_fract_x
_atom_site_fract_y
_atom_site_fract_z
Nb1 0.0000 0.0000 0.0000
Cu1 0.1374 0.3626 0.5000
Sn1 0.1588 0.6588 0.0000
```

Computed properties:
Density of states at the Fermi level, states/eV/f.u.: 1.9
Energy of formation, eV/atom: 0.21
Density, g/cm3: 8.3

***

Density functional theory data (PBE-GGA) for an optimized crystal structure of TaNb2CuSn.

Cell and atoms, written as CIF:
```
data_TaNb2CuSn
_cell_length_a 5.0236
_cell_length_b 5.0236
_cell_length_c 5.0278
_cell_angle_alpha 90.00
_cell_angle_beta 90.00
_cell_angle_gamma 90.00
_symmetry_space_group_name_H-M 'P 4/m m m'
_symmetry_Int_Tables_number 123
_symmetry_space_group_name_Hall '-P 4 2'
loop_
_atom_site_label
_atom_site_fract_x
_atom_site_fract_y
_atom_site_fract_z
Ta1 0.0000 0.0000 0.0000
Nb1 0.0000 0.5000 0.5000
Cu1 0.5000 0.5000 0.0000
Sn1 0.0000 0.0000 0.5000
```

Computed properties:
Density of states at the Fermi level, states/eV/f.u.: 2.1
Energy of formation, eV/atom: 1.99
Density, g/cm3: 7.2

***

The records above give, respectively, E_tot values of -5.045, -6.025 eV/atom.